Record 1
# Li2YSc2 (meta-GGA SCAN, single point on PBEsol structure)
data_Li2YSc2
_cell_length_a 3.929
_cell_length_b 3.929
_cell_length_c 15.943
_cell_angle_alpha 90.00
_cell_angle_beta 90.00
_cell_angle_gamma 90.00
_symmetry_space_group_name_H-M 'I 4/m m m'
_symmetry_Int_Tables_number 139
_symmetry_space_group_name_Hall '-I 4 2'
loop_
_atom_site_label
_atom_site_type_symbol
_atom_site_fract_x
_atom_site_fract_y
_atom_site_fract_z
Li1 Li 0.000 0.500 0.250
Y1 Y 0.000 0.000 0.000
Sc1 Sc 0.000 0.000 0.400
# Raw total energy: -119.061 eV per cell
# Density: 2.600 g/cm3

Record 2
# LiYSc2 (meta-GGA SCAN, single point on PBEsol structure)
data_LiYSc2
_cell_length_a 3.577
_cell_length_b 5.179
_cell_length_c 5.214
_cell_angle_alpha 90.00
_cell_angle_beta 90.00
_cell_angle_gamma 90.00
_symmetry_space_group_name_H-M 'P m m m'
_symmetry_Int_Tables_number 47
_symmetry_space_group_name_Hall '-P 2 2'
loop_
_atom_site_label
_atom_site_type_symbol
_atom_site_fract_x
_atom_site_fract_y
_atom_site_fract_z
Li1 Li 0.000 0.000 0.000
Y1 Y 0.500 0.500 0.000
Sc1 Sc 0.000 0.500 0.500
Sc2 Sc 0.500 0.000 0.500
# Raw total energy: -57.975 eV per cell
# Density: 3.193 g/cm3
# Energy relative to the lowest polymorph listed for this composition: 86 meV/atom

Record 3
# LiYSc2 (meta-GGA SCAN, single point on PBEsol structure)
data_LiYSc2
_cell_length_a 3.2380
_cell_length_b 3.2380
_cell_length_c 34.3790
_cell_angle_alpha 90.00
_cell_angle_beta 90.00
_cell_angle_gamma 120.00
_symmetry_space_group_name_H-M 'R -3 m'
_symmetry_Int_Tables_number 166
_symmetry_space_group_name_Hall '-R 3 2"'
loop_
_atom_site_label
_atom_site_type_symbol
_atom_site_fract_x
_atom_site_fract_y
_atom_site_fract_z
Li1 Li 0.0000 0.0000 0.0000
Y1 Y 0.0000 0.0000 0.5000
Sc1 Sc 0.0000 0.0000 0.0878
# Raw total energy: -172.943 eV per cell
# Density: 2.964 g/cm3
# Energy relative to the lowest polymorph listed for this composition: 168 meV/atom

Record 4
# LiYSc2 (meta-GGA SCAN, single point on PBEsol structure)
data_LiYSc2
_cell_length_a 3.483
_cell_length_b 5.136
_cell_length_c 10.642
_cell_angle_alpha 90.00
_cell_angle_beta 90.00
_cell_angle_gamma 90.00
_symmetry_space_group_name_H-M 'I m m m'
_symmetry_Int_Tables_number 71
_symmetry_space_group_name_Hall '-I 2 2'
loop_
_atom_site_label
_atom_site_type_symbol
_atom_site_fract_x
_atom_site_fract_y
_atom_site_fract_z
Li1 Li 0.000 0.000 0.000
Y1 Y 0.000 0.000 0.500
Sc1 Sc 0.000 0.500 0.275
# Raw total energy: -116.554 eV per cell
# Density: 3.241 g/cm3
# Energy relative to the lowest polymorph listed for this composition: 11 meV/atom

Record 5
# LiScZn2 (meta-GGA SCAN, single point on PBEsol structure)
data_LiScZn2
_cell_length_a 4.637
_cell_length_b 4.637
_cell_length_c 3.137
_cell_angle_alpha 90.00
_cell_angle_beta 90.00
_cell_angle_gamma 90.00
_symmetry_space_group_name_H-M 'P 4/m m m'
_symmetry_Int_Tables_number 123
_symmetry_space_group_name_Hall '-P 4 2'
loop_
_atom_site_label
_atom_site_type_symbol
_atom_site_fract_x
_atom_site_fract_y
_atom_site_fract_z
Li1 Li 0.000 0.000 0.000
Sc1 Sc 0.500 0.500 0.000
Zn1 Zn 0.000 0.500 0.500
# Raw total energy: -44.748 eV per cell
# Density: 4.498 g/cm3

Record 6
# LiScZn2 (meta-GGA SCAN, single point on PBEsol structure)
data_LiScZn2
_cell_length_a 3.070
_cell_length_b 4.595
_cell_length_c 4.751
_cell_angle_alpha 90.00
_cell_angle_beta 90.00
_cell_angle_gamma 90.00
_symmetry_space_group_name_H-M 'P m m 2'
_symmetry_Int_Tables_number 25
_symmetry_space_group_name_Hall 'P 2 -2'
loop_
_atom_site_label
_atom_site_type_symbol
_atom_site_fract_x
_atom_site_fract_y
_atom_site_fract_z
Li1 Li 0.000 0.000 0.000
Sc1 Sc 0.000 0.500 0.576
Zn1 Zn 0.500 0.000 0.470
Zn2 Zn 0.500 0.500 0.091
# Raw total energy: -44.762 eV per cell
# Density: 4.527 g/cm3

Record 7
# LiScZn2 (meta-GGA SCAN, single point on PBEsol structure)
data_LiScZn2
_cell_length_a 10.156
_cell_length_b 3.025
_cell_length_c 4.756
_cell_angle_alpha 90.00
_cell_angle_beta 111.61
_cell_angle_gamma 90.00
_symmetry_space_group_name_H-M 'C 1 m 1'
_symmetry_Int_Tables_number 8
_symmetry_space_group_name_Hall 'C -2y'
loop_
_atom_site_label
_atom_site_type_symbol
_atom_site_fract_x
_atom_site_fract_y
_atom_site_fract_z
Li1 Li 0.000 0.000 0.000
Sc1 Sc 0.209 0.000 0.673
Zn1 Zn 0.246 0.500 0.193
Zn2 Zn 0.456 0.000 0.463
# Raw total energy: -88.999 eV per cell
# Density: 4.468 g/cm3

Record 8
# LiScZn2 (meta-GGA SCAN, single point on PBEsol structure)
data_LiScZn2
_cell_length_a 3.290
_cell_length_b 4.625
_cell_length_c 8.819
_cell_angle_alpha 90.00
_cell_angle_beta 90.00
_cell_angle_gamma 90.00
_symmetry_space_group_name_H-M 'I m m 2'
_symmetry_Int_Tables_number 44
_symmetry_space_group_name_Hall 'I 2 -2'
loop_
_atom_site_label
_atom_site_type_symbol
_atom_site_fract_x
_atom_site_fract_y
_atom_site_fract_z
Li1 Li 0.000 0.000 0.000
Sc1 Sc 0.000 0.500 0.785
Zn1 Zn 0.000 0.000 0.545
Zn2 Zn 0.000 0.500 0.259
# Raw total energy: -89.050 eV per cell
# Density: 4.523 g/cm3